# Li2Ac2ZrO6

Li2Ac2ZrO6 after structural relaxation (GGA-PBE, the Alexandria database).

The space group is R-3m (No. 166, hexagonal axes) and the conventional cell measures 5.8520, 5.8520 and 15.7319 Å, with angles of 90.00, 90.00 and 120.00 degrees. The inequivalent atoms are Li at (0.0000, 0.0000, 0.0707), Ac at (0.0000, 0.0000, 0.2840), Zr at (0.0000, 0.0000, 0.5000) and O at (0.0209, 0.5105, 0.2555).

Its crystal system is trigonal. Its raw formation energy is -2793 meV per atom. The value obtained for the density is 7.0 g/cm3.